# 1
3
Lattice="6.925 0.002 0.000 5.636 4.024 0.000 -6.280 -2.013 2.112" Properties=species:S:1:pos:R:3 comment="OsPtBr, optimized geometry, DFT PBE-GGA" formation_energy_uncorrected_mev_per_atom=905 magmom_total_mub_per_fu=0.00 e_above_lowest_polymorph_mev_per_atom=99 pbc="T T T"
Os 4.094 1.312 0.000
Pt 8.890 2.849 0.000
Br 12.136 3.889 0.000

# 2
5
Lattice="-0.064 -3.930 2.211 4.433 -0.459 -0.687 0.824 2.164 3.870" Properties=species:S:1:pos:R:3 comment="Os3PtBr, optimized geometry, DFT PBE-GGA" formation_energy_uncorrected_mev_per_atom=2471 magmom_total_mub_per_fu=1.80 e_above_lowest_polymorph_mev_per_atom=0 pbc="T T T"
Pt 2.597 -1.112 2.697
Os -0.032 -1.965 1.106
Os 0.412 1.082 1.935
Os 2.217 -0.229 -0.344
Br 0.000 0.000 0.000

# 3
4
Lattice="2.974 0.000 0.000 0.000 3.530 0.000 0.000 0.000 6.528" Properties=species:S:1:pos:R:3 comment="Os2PtBr, optimized geometry, DFT PBE-GGA" formation_energy_uncorrected_mev_per_atom=1104 magmom_total_mub_per_fu=0.00 e_above_lowest_polymorph_mev_per_atom=525 pbc="T T T"
Os 0.000 0.000 0.314
Os 0.000 0.000 2.950
Pt 1.487 1.765 1.632
Br 1.487 1.765 4.896